# 1
Computed, not measured: a relaxed HfIrIO2 crystal at the PBE-GGA level of DFT.

Structure (POSCAR):
```
HfIrIO2
1.0
4.044 0.000 0.000
0.000 4.044 0.000
0.000 0.000 5.335
Hf Ir I O
1 1 1 2
Direct
0.000 0.000 0.000
0.500 0.500 0.500
0.500 0.500 0.000
0.000 0.500 0.500
0.500 0.000 0.500
```

Relative energy among the computed polymorphs = 1244 meV per atom
Space-group type = No. 123

---

# 2
Computed, not measured: a relaxed Zr2OsPd crystal at the PBE-GGA level of DFT.

Structure (POSCAR):
```
Zr2OsPd
1.0
3.220 0.000 0.000
0.000 3.220 0.000
0.000 0.000 7.077
Zr Os Pd
2 1 1
Direct
0.000 0.000 0.238
0.000 0.000 0.762
0.500 0.500 0.000
0.500 0.500 0.500
```

Uncorrected energy = -8.935 eV per atom
Space-group type = No. 123

---

# 3
Computed, not measured: a relaxed Zr2CrHg crystal at the PBE-GGA level of DFT.

Structure (POSCAR):
```
Zr2CrHg
1.0
3.082 -4.118 0.000
3.082 4.118 0.000
0.000 0.000 3.174
Zr Cr Hg
2 1 1
Direct
0.000 0.500 0.000
0.500 0.000 0.000
0.000 0.000 0.500
0.500 0.500 0.500
```

Relative energy among the computed polymorphs = 137 meV per atom
Space-group type = No. 65

---

# 4
Computed, not measured: a relaxed CaMo4Os crystal at the PBE-GGA level of DFT.

Structure (POSCAR):
```
CaMo4Os
1.0
0.000 3.744 3.744
3.744 0.000 3.744
3.744 3.744 0.000
Ca Mo Os
1 4 1
Direct
0.000 0.000 0.000
0.124 0.625 0.625
0.625 0.124 0.625
0.625 0.625 0.124
0.625 0.625 0.625
0.250 0.250 0.250
```

Uncorrected energy = -8.935 eV per atom
Space-group type = No. 216

---

# 5
Computed, not measured: a relaxed AcTbH6Ir2 crystal at the PBE-GGA level of DFT.

Structure (POSCAR):
```
AcTbH6Ir2
1.0
3.928 -4.893 0.000
3.928 4.893 0.000
-2.499 0.000 6.146
Ac Tb H Ir
2 2 12 4
Direct
0.146 0.854 0.750
0.854 0.146 0.250
0.406 0.594 0.250
0.594 0.406 0.750
0.088 0.568 0.381
0.169 0.230 0.017
0.230 0.169 0.517
0.311 0.536 0.877
0.432 0.912 0.119
0.464 0.689 0.623
0.536 0.311 0.377
0.568 0.088 0.881
0.689 0.464 0.123
0.770 0.831 0.483
0.831 0.770 0.983
0.912 0.432 0.619
0.053 0.334 0.816
0.334 0.053 0.316
0.666 0.947 0.684
0.947 0.666 0.184
```

Uncorrected energy = -5.214 eV per atom
Space-group type = No. 15

---

# 6
Computed, not measured: a relaxed Er2TcSe crystal at the PBE-GGA level of DFT.

Structure (POSCAR):
```
Er2TcSe
1.0
3.519 0.000 0.000
0.000 3.519 0.000
0.000 0.000 6.876
Er Tc Se
2 1 1
Direct
0.000 0.000 0.236
0.000 0.000 0.764
0.500 0.500 0.000
0.500 0.500 0.500
```

Relative energy among the computed polymorphs = 0 meV per atom
Space-group type = No. 123

---

# 7
Computed, not measured: a relaxed Al5Au6 crystal at the PBE-GGA level of DFT.

Structure (POSCAR):
```
Al5Au6
1.0
6.921 -3.278 0.000
6.921 3.278 0.000
-1.332 0.000 4.179
Al Au
5 6
Direct
0.000 0.000 0.000
0.166 0.166 0.667
0.336 0.336 0.336
0.664 0.664 0.664
0.834 0.834 0.333
0.097 0.578 0.838
0.257 0.743 0.500
0.422 0.903 0.162
0.578 0.097 0.838
0.743 0.257 0.500
0.903 0.422 0.162
```

Uncorrected energy = -3.787 eV per atom
Space-group type = No. 12

---

# 8
Computed, not measured: a relaxed Ni2GeIr2 crystal at the PBE-GGA level of DFT.

Structure (POSCAR):
```
Ni2GeIr2
1.0
6.275 0.000 0.000
0.000 6.275 0.000
0.000 0.000 3.710
Ni Ge Ir
4 2 4
Direct
0.150 0.350 0.000
0.350 0.850 0.000
0.650 0.150 0.000
0.850 0.650 0.000
0.000 0.000 0.500
0.500 0.500 0.500
0.143 0.643 0.500
0.357 0.143 0.500
0.643 0.857 0.500
0.857 0.357 0.500
```

Uncorrected energy = -6.648 eV per atom
Space-group type = No. 127

---

# 9
Computed, not measured: a relaxed Co3C4 crystal at the PBE-GGA level of DFT.

Structure (POSCAR):
```
Co3C4
1.0
-1.452 1.452 6.650
1.452 -1.452 6.650
1.452 1.452 -6.650
Co C
3 4
Direct
0.000 0.000 0.000
0.309 0.309 0.000
0.691 0.691 0.000
0.163 0.163 0.000
0.451 0.451 0.000
0.549 0.549 0.000
0.837 0.837 0.000
```

Relative energy among the computed polymorphs = 200 meV per atom
Space-group type = No. 139

---

# 10
Computed, not measured: a relaxed Li8Ce7Ge10 crystal at the PBE-GGA level of DFT.

Structure (POSCAR):
```
Li8Ce7Ge10
1.0
3.422 -16.575 0.000
3.422 16.575 0.000
0.000 0.000 4.442
Li Ce Ge
8 7 10
Direct
0.044 0.329 0.000
0.235 0.385 0.500
0.329 0.044 0.000
0.385 0.235 0.500
0.615 0.765 0.500
0.671 0.956 0.000
0.765 0.615 0.500
0.956 0.671 0.000
0.056 0.944 0.000
0.222 0.778 0.500
0.338 0.662 0.500
0.500 0.500 0.000
0.662 0.338 0.500
0.778 0.222 0.500
0.944 0.056 0.000
0.100 0.529 0.000
0.126 0.874 0.500
0.188 0.188 0.500
0.406 0.594 0.000
0.471 0.900 0.000
0.529 0.100 0.000
0.594 0.406 0.000
0.812 0.812 0.500
0.874 0.126 0.500
0.900 0.471 0.000
```

Uncorrected energy = -4.739 eV per atom
Space-group type = No. 65

---

# 11
Computed, not measured: a relaxed SrAlSbI2 crystal at the PBE-GGA level of DFT.

Structure (POSCAR):
```
SrAlSbI2
1.0
6.329 0.000 0.000
0.000 6.329 0.000
0.000 0.000 6.580
Sr Al Sb I
1 1 1 2
Direct
0.000 0.000 0.000
0.500 0.500 0.500
0.000 0.000 0.500
0.000 0.500 0.000
0.500 0.000 0.000
```

Relative energy among the computed polymorphs = 375 meV per atom
Space-group type = No. 123

---

# 12
Computed, not measured: a relaxed La4TeAsP2 crystal at the PBE-GGA level of DFT.

Structure (POSCAR):
```
La4TeAsP2
1.0
7.566 0.000 0.000
0.000 4.355 0.000
-2.500 0.000 7.187
La Te As P
4 1 1 2
Direct
0.233 0.000 0.229
0.246 0.500 0.763
0.754 0.500 0.237
0.767 0.000 0.771
0.500 0.500 0.500
0.000 0.000 0.500
0.000 0.500 0.000
0.500 0.000 0.000
```

Uncorrected energy = -6.411 eV per atom
Space-group type = No. 10

---

# 13
Computed, not measured: a relaxed Pr2Al crystal at the PBE-GGA level of DFT.

Structure (POSCAR):
```
Pr2Al
1.0
-1.979 1.979 5.620
1.979 -1.979 5.620
1.979 1.979 -5.620
Pr Al
2 1
Direct
0.148 0.148 0.000
0.852 0.852 0.000
0.500 0.500 0.000
```

Uncorrected energy = -4.604 eV per atom
Space-group type = No. 139

---

# 14
Computed, not measured: a relaxed TeOsPt crystal at the PBE-GGA level of DFT.

Structure (POSCAR):
```
TeOsPt
1.0
3.140 0.000 0.000
-1.570 2.719 0.000
0.000 0.000 6.331
Te Os Pt
1 1 1
Direct
0.000 0.000 0.000
0.333 0.667 0.313
0.667 0.333 0.644
```

Relative energy among the computed polymorphs = 255 meV per atom
Space-group type = No. 156

---

# 15
Computed, not measured: a relaxed KAl6Ge4 crystal at the PBE-GGA level of DFT.

Structure (POSCAR):
```
KAl6Ge4
1.0
-2.133 2.133 13.539
2.133 -2.133 13.539
2.133 2.133 -13.539
K Al Ge
1 6 4
Direct
0.000 0.000 0.000
0.130 0.630 0.500
0.250 0.750 0.500
0.370 0.870 0.500
0.630 0.130 0.500
0.750 0.250 0.500
0.870 0.370 0.500
0.191 0.191 0.000
0.425 0.425 0.000
0.575 0.575 0.000
0.809 0.809 0.000
```

Uncorrected energy = -3.792 eV per atom
Space-group type = No. 139

---

| no. | density of states at the Fermi level (states/eV/f.u.) | ρ (g cm⁻³) |
| --- | --- | --- |
| 1 | 6.25 | 10.1 |
| 2 | 3.52 | 10.8 |
| 3 | 3.99 | 9.0 |
| 4 | 6.39 | 9.7 |
| 5 | 2.17 | 10.9 |
| 6 | 3.81 | 10.0 |
| 7 | 3.01 | 11.5 |
| 8 | 5.41 | 13.1 |
| 9 | 3.96 | 6.7 |
| 10 | 40.04 | 5.8 |
| 11 | 2.45 | 3.1 |
| 12 | 2.04 | 5.8 |
| 13 | 3.53 | 5.8 |
| 14 | 3.38 | 15.8 |
| 15 | 2.69 | 3.3 |